[1]
FeTcGe4, optimized geometry, DFT PBE-GGA; DFT formation energy = -1.1 kcal/mol of atoms; total DFT energy (no corrections) = -6.27 eV per atom
1.0
-3.013 3.013 5.199
3.013 -3.013 5.199
3.013 3.013 -5.199
Fe Tc Ge
2 2 8
Direct
0.000 0.000 0.000
0.500 0.500 0.000
0.250 0.250 0.000
0.750 0.750 0.000
0.023 0.523 0.801
0.222 0.023 0.500
0.278 0.778 0.801
0.477 0.278 0.500
0.523 0.722 0.500
0.722 0.222 0.199
0.778 0.977 0.500
0.977 0.477 0.199

=====

[2]
FeTcGe2, optimized geometry, DFT PBE-GGA; DFT formation energy = 10.8 kcal/mol of atoms; total DFT energy (no corrections) = -6.55 eV per atom
1.0
-3.344 3.344 2.779
3.344 -3.344 2.779
3.344 3.344 -2.779
Fe Tc Ge
2 2 4
Direct
0.000 0.000 0.000
0.750 0.250 0.500
0.250 0.750 0.500
0.500 0.500 0.000
0.108 0.625 0.983
0.375 0.358 0.483
0.642 0.125 0.017
0.875 0.892 0.517